No. 1
Cs3K5Au2 | PBE | relaxed

```
Cs3K5Au2
1.0
-6.568 9.712 5.177
6.568 -9.712 5.177
6.568 9.712 -5.177
Cs K Au
6 10 4
Direct
0.133 0.743 0.877
0.250 0.250 0.000
0.367 0.243 0.610
0.633 0.757 0.390
0.750 0.750 0.000
0.867 0.257 0.123
0.006 0.250 0.756
0.124 0.272 0.396
0.250 0.750 0.500
0.376 0.772 0.148
0.494 0.250 0.244
0.506 0.750 0.756
0.624 0.228 0.852
0.750 0.250 0.500
0.876 0.728 0.604
0.994 0.750 0.244
0.136 0.020 0.156
0.364 0.520 0.883
0.636 0.480 0.117
0.864 0.980 0.844
```

Output
- Formation energy from the elements: -0.12 eV/atom
- Total magnetization: 0.000 μB per formula unit
- Density of states at the Fermi level: 6.39 states/eV/f.u.
- DFT total energy: -1.583 eV/atom



No. 2
CsKAu2 | PBE | relaxed

```
CsKAu2
1.0
8.386 0.000 0.000
0.000 8.386 0.000
0.000 0.000 8.386
Cs K Au
4 4 8
Direct
0.000 0.000 0.000
0.000 0.500 0.500
0.500 0.000 0.500
0.500 0.500 0.000
0.000 0.000 0.500
0.000 0.500 0.000
0.500 0.000 0.000
0.500 0.500 0.500
0.250 0.250 0.250
0.250 0.250 0.750
0.250 0.750 0.250
0.250 0.750 0.750
0.750 0.250 0.250
0.750 0.250 0.750
0.750 0.750 0.250
0.750 0.750 0.750
```

Output
- E above lowest polymorph: 0.028 eV/atom
- Formation energy from the elements: -0.28 eV/atom
- Total magnetization: 0.000 μB per formula unit
- Density of states at the Fermi level: 0.00 states/eV/f.u.
- DFT total energy: -2.406 eV/atom



No. 3
CsKAu2 | PBE | relaxed

```
CsKAu2
1.0
4.970 0.000 0.000
0.000 4.839 0.000
0.000 0.000 12.607
Cs K Au
2 2 4
Direct
0.000 0.000 0.000
0.000 0.500 0.500
0.500 0.000 0.278
0.500 0.500 0.778
0.000 0.000 0.714
0.000 0.500 0.214
0.500 0.000 0.584
0.500 0.500 0.084
```

Output
- E above lowest polymorph: 0.000 eV/atom
- Formation energy from the elements: -0.31 eV/atom
- Total magnetization: 0.000 μB per formula unit
- Density of states at the Fermi level: 0.02 states/eV/f.u.
- DFT total energy: -2.434 eV/atom



No. 4
Cs2K3Au2 | PBE | relaxed

```
Cs2K3Au2
1.0
16.225 0.000 0.000
0.000 4.936 0.000
-1.491 0.000 9.438
Cs K Au
4 6 4
Direct
0.113 0.000 0.387
0.387 0.500 0.613
0.613 0.500 0.387
0.887 0.000 0.613
0.000 0.500 0.000
0.171 0.000 0.829
0.329 0.500 0.171
0.500 0.000 0.000
0.671 0.500 0.829
0.829 0.000 0.171
0.053 0.500 0.642
0.447 0.000 0.358
0.553 0.000 0.642
0.947 0.500 0.358
```

Output
- E above lowest polymorph: 0.000 eV/atom
- Formation energy from the elements: -0.20 eV/atom
- Total magnetization: 0.000 μB per formula unit
- Density of states at the Fermi level: 2.68 states/eV/f.u.
- DFT total energy: -1.848 eV/atom



No. 5
CsK4Au | PBE | relaxed

```
CsK4Au
1.0
11.961 -4.628 0.000
11.961 4.628 0.000
-2.268 0.000 7.076
Cs K Au
2 8 2
Direct
0.213 0.213 0.211
0.787 0.787 0.789
0.159 0.653 0.408
0.223 0.777 0.000
0.347 0.841 0.592
0.370 0.370 0.873
0.630 0.630 0.127
0.653 0.159 0.408
0.777 0.223 0.000
0.841 0.347 0.592
0.500 0.500 0.305
0.500 0.500 0.695
```

Output
- Formation energy from the elements: -0.10 eV/atom
- Total magnetization: 0.000 μB per formula unit
- Density of states at the Fermi level: 3.84 states/eV/f.u.
- DFT total energy: -1.524 eV/atom



No. 6
Cs5KAu4 | PBE | relaxed

```
Cs5KAu4
1.0
4.408 0.000 0.000
0.000 4.408 0.000
0.000 0.000 25.504
Cs K Au
5 1 4
Direct
0.000 0.000 0.000
0.000 0.000 0.169
0.000 0.000 0.336
0.000 0.000 0.664
0.000 0.000 0.831
0.500 0.500 0.500
0.500 0.500 0.086
0.500 0.500 0.260
0.500 0.500 0.740
0.500 0.500 0.914
```

Output
- Formation energy from the elements: -0.26 eV/atom
- Total magnetization: 0.000 μB per formula unit
- Density of states at the Fermi level: 3.35 states/eV/f.u.
- DFT total energy: -2.111 eV/atom



No. 7
Cs6K12Au | PBE | relaxed

```
Cs6K12Au
1.0
7.376 4.259 8.011
-7.376 4.259 8.011
0.000 -8.517 8.011
Cs K Au
6 12 1
Direct
0.299 0.299 0.642
0.299 0.642 0.299
0.358 0.701 0.701
0.642 0.299 0.299
0.701 0.358 0.701
0.701 0.701 0.358
0.021 0.021 0.694
0.021 0.694 0.021
0.036 0.354 0.354
0.306 0.979 0.979
0.354 0.036 0.354
0.354 0.354 0.036
0.646 0.646 0.964
0.646 0.964 0.646
0.694 0.021 0.021
0.964 0.646 0.646
0.979 0.306 0.979
0.979 0.979 0.306
0.500 0.500 0.500
```

Output
- Formation energy from the elements: -0.03 eV/atom
- Total magnetization: 0.000 μB per formula unit
- Density of states at the Fermi level: 17.53 states/eV/f.u.
- DFT total energy: -1.166 eV/atom



No. 8
Cs2K3Au2 | PBE | relaxed

```
Cs2K3Au2
1.0
14.384 0.000 0.000
0.000 5.132 0.000
-3.843 0.000 9.366
Cs K Au
4 6 4
Direct
0.156 0.000 0.312
0.344 0.500 0.688
0.656 0.500 0.312
0.844 0.000 0.688
0.000 0.500 0.500
0.136 0.500 0.932
0.364 0.000 0.068
0.500 0.000 0.500
0.636 0.000 0.932
0.864 0.500 0.068
0.158 0.000 0.706
0.342 0.500 0.294
0.658 0.500 0.706
0.842 0.000 0.294
```

Output
- E above lowest polymorph: 0.018 eV/atom
- Formation energy from the elements: -0.18 eV/atom
- Total magnetization: 0.000 μB per formula unit
- Density of states at the Fermi level: 3.78 states/eV/f.u.
- DFT total energy: -1.830 eV/atom



Which formula does entry 7 have?
Cs6K12Au



What did the third record say?
CsKAu2 | PBE | relaxed

```
CsKAu2
1.0
4.970 0.000 0.000
0.000 4.839 0.000
0.000 0.000 12.607
Cs K Au
2 2 4
Direct
0.000 0.000 0.000
0.000 0.500 0.500
0.500 0.000 0.278
0.500 0.500 0.778
0.000 0.000 0.714
0.000 0.500 0.214
0.500 0.000 0.584
0.500 0.500 0.084
```

Output
- E above lowest polymorph: 0.000 eV/atom
- Formation energy from the elements: -0.31 eV/atom
- Total magnetization: 0.000 μB per formula unit
- Density of states at the Fermi level: 0.02 states/eV/f.u.
- DFT total energy: -2.434 eV/atom



What is the formula in the seventh record?
Cs6K12Au